(1)
{
  "formula": "BaHg4As",
  "functional": "GGA-PBE",
  "state": "optimized geometry",
  "lattice": [[0.000, 4.422, 4.422], [4.422, 0.000, 4.422], [4.422, 4.422, 0.000]],
  "species": ["Hg", "Hg", "Hg", "Hg", "Ba", "As"],
  "frac_coords": [[0.376, 0.871, 0.376], [0.376, 0.376, 0.376], [0.376, 0.376, 0.871], [0.871, 0.376, 0.376], [0.000, 0.000, 0.000], [0.750, 0.750, 0.750]],
  "n_ef_per_ev_fu": 4.75,
  "ef_ev_per_atom": -0.1518,
  "sg": "No. 216",
  "energy_ha_per_atom": -0.0532
}



(2)
{
  "formula": "Dy3Ho6Sc",
  "functional": "GGA-PBE",
  "state": "optimized geometry",
  "lattice": [[-3.929, -4.562, -1.109], [6.863, -7.022, 4.570], [-7.482, 4.973, 6.049]],
  "species": ["Ho", "Ho", "Ho", "Ho", "Ho", "Ho", "Ho", "Ho", "Ho", "Ho", "Ho", "Ho", "Sc", "Sc", "Dy", "Dy", "Dy", "Dy", "Dy", "Dy"],
  "frac_coords": [[0.860, 0.955, 0.534], [0.643, 0.278, 0.722], [0.924, 0.048, 0.952], [0.424, 0.952, 0.048], [0.040, 0.382, 0.289], [0.143, 0.722, 0.278], [0.540, 0.289, 0.382], [0.540, 0.618, 0.711], [0.360, 0.045, 0.466], [0.360, 0.534, 0.955], [0.860, 0.466, 0.045], [0.040, 0.711, 0.618], [0.635, 0.794, 0.206], [0.135, 0.206, 0.794], [0.069, 0.389, 0.611], [0.569, 0.611, 0.389], [0.457, 0.945, 0.723], [0.457, 0.277, 0.055], [0.957, 0.723, 0.945], [0.957, 0.055, 0.277]],
  "n_ef_per_ev_fu": 14.74,
  "ef_ev_per_atom": 0.1441,
  "sg": "No. 36",
  "energy_ha_per_atom": -0.1696,
  "polymorph_energy_ev_per_atom": 0.0000
}



(3)
{
  "formula": "CrHg2",
  "functional": "GGA-PBE",
  "state": "optimized geometry",
  "lattice": [[0.000, 4.070, 4.070], [4.070, 0.000, 4.070], [4.070, 4.070, 0.000]],
  "species": ["Cr", "Cr", "Hg", "Hg", "Hg", "Hg"],
  "frac_coords": [[0.500, 0.500, 0.500], [0.750, 0.750, 0.750], [0.125, 0.125, 0.125], [0.625, 0.125, 0.125], [0.125, 0.625, 0.125], [0.125, 0.125, 0.625]],
  "n_ef_per_ev_fu": 1.17,
  "ef_ev_per_atom": 0.6897,
  "sg": "No. 227",
  "energy_ha_per_atom": -0.0999
}



(4)
{
  "formula": "TaSi2Se",
  "functional": "GGA-PBE",
  "state": "optimized geometry",
  "lattice": [[5.081, -0.002, -0.004], [2.033, 4.657, 0.004], [-3.127, -2.985, 2.670]],
  "species": ["Si", "Si", "Se", "Ta"],
  "frac_coords": [[0.004, 0.004, 0.000], [0.496, 0.496, 0.000], [0.250, 0.750, 0.500], [0.750, 0.250, 0.500]],
  "n_ef_per_ev_fu": 1.25,
  "sg": "No. 71",
  "energy_ha_per_atom": -0.2352,
  "e_form_raw_mev_per_atom": 146.4
}



(5)
{
  "formula": "Tc2HgPdS",
  "functional": "GGA-PBE",
  "state": "optimized geometry",
  "lattice": [[5.170, 0.000, 0.000], [0.000, 4.982, 0.000], [0.000, 0.000, 5.170]],
  "species": ["Tc", "Tc", "S", "Pd", "Hg"],
  "frac_coords": [[0.000, 0.000, 0.500], [0.500, 0.000, 0.000], [0.500, 0.500, 0.500], [0.000, 0.500, 0.000], [0.000, 0.000, 0.000]],
  "n_ef_per_ev_fu": 3.91,
  "sg": "No. 123",
  "energy_ha_per_atom": -0.1481,
  "e_form_raw_mev_per_atom": 2040.3
}



(6)
{
  "formula": "NdU3Tl3Te8",
  "functional": "GGA-PBE",
  "state": "optimized geometry",
  "lattice": [[8.861, 0.000, 0.000], [-4.431, 7.674, -0.032], [-0.001, -5.083, 8.293]],
  "species": ["Te", "Te", "Te", "Te", "Te", "Te", "Te", "Te", "Tl", "Tl", "Tl", "U", "U", "U", "Nd"],
  "frac_coords": [[0.730, 0.974, 0.717], [0.261, 0.523, 0.284], [0.756, 0.512, 0.282], [0.244, 0.974, 0.717], [0.739, 0.477, 0.716], [0.244, 0.488, 0.718], [0.270, 0.026, 0.283], [0.756, 0.026, 0.283], [0.000, 0.500, 0.000], [0.500, 0.500, 0.000], [0.000, 0.000, 0.000], [0.500, 0.000, 0.500], [0.500, 0.500, 0.500], [0.000, 0.500, 0.500], [0.000, 0.000, 0.500]],
  "n_ef_per_ev_fu": 21.47,
  "sg": "No. 166",
  "energy_ha_per_atom": -0.1989,
  "e_form_raw_mev_per_atom": -688.8
}



(7)
{
  "formula": "TbHo6Sc3",
  "functional": "GGA-PBE",
  "state": "optimized geometry",
  "lattice": [[-2.847, -1.335, -5.291], [-2.985, -9.384, 3.974], [-6.011, 8.692, 1.040]],
  "species": ["Ho", "Ho", "Ho", "Ho", "Ho", "Ho", "Ho", "Ho", "Ho", "Ho", "Ho", "Ho", "Sc", "Sc", "Sc", "Sc", "Sc", "Sc", "Tb", "Tb"],
  "frac_coords": [[0.364, 0.954, 0.046], [0.358, 0.558, 0.965], [0.858, 0.965, 0.558], [0.358, 0.035, 0.442], [0.530, 0.295, 0.369], [0.530, 0.631, 0.705], [0.858, 0.442, 0.035], [0.030, 0.369, 0.295], [0.171, 0.694, 0.306], [0.671, 0.306, 0.694], [0.030, 0.705, 0.631], [0.864, 0.046, 0.954], [0.429, 0.923, 0.695], [0.122, 0.386, 0.614], [0.429, 0.305, 0.077], [0.929, 0.695, 0.923], [0.929, 0.077, 0.305], [0.622, 0.614, 0.386], [0.194, 0.211, 0.789], [0.694, 0.789, 0.211]],
  "n_ef_per_ev_fu": 13.05,
  "ef_ev_per_atom": 0.1663,
  "sg": "No. 36",
  "energy_ha_per_atom": -0.1816,
  "polymorph_energy_ev_per_atom": 0.0393
}



(8)
{
  "formula": "Sm5Te5N",
  "functional": "GGA-PBE",
  "state": "optimized geometry",
  "lattice": [[6.136, 0.000, 0.000], [-3.068, 6.746, -0.133], [0.000, -2.685, 8.100]],
  "species": ["Sm", "Sm", "Sm", "Sm", "Sm", "Te", "Te", "Te", "Te", "Te", "N"],
  "frac_coords": [[0.862, 0.724, 0.721], [0.138, 0.276, 0.279], [0.500, 0.000, 0.000], [0.149, 0.297, 0.860], [0.851, 0.703, 0.140], [0.343, 0.686, 0.192], [0.657, 0.314, 0.808], [0.322, 0.645, 0.662], [0.678, 0.355, 0.338], [0.000, 0.000, 0.500], [0.000, 0.000, 0.000]],
  "n_ef_per_ev_fu": 4.75,
  "sg": "No. 12",
  "energy_ha_per_atom": -0.2075,
  "e_form_raw_mev_per_atom": -1315.6
}



(9)
{
  "formula": "ZnGePd6",
  "functional": "GGA-PBE",
  "state": "optimized geometry",
  "lattice": [[-4.820, -0.612, -4.082], [-0.526, -5.236, -3.517], [-3.852, -3.504, 0.091]],
  "species": ["Pd", "Pd", "Pd", "Pd", "Pd", "Pd", "Zn", "Ge"],
  "frac_coords": [[0.999, 0.520, 0.236], [0.755, 0.006, 0.762], [0.001, 0.480, 0.764], [0.245, 0.994, 0.238], [0.486, 0.753, 0.757], [0.514, 0.247, 0.243], [0.500, 0.500, 0.500], [0.000, 0.000, 0.000]],
  "n_ef_per_ev_fu": 3.19,
  "ef_ev_per_atom": -0.1862,
  "sg": "No. 2",
  "energy_ha_per_atom": -0.1770,
  "polymorph_energy_ev_per_atom": 0.1472
}



(10)
{
  "formula": "ThTlSe2",
  "functional": "GGA-PBE",
  "state": "optimized geometry",
  "lattice": [[-3.239, 1.489, 0.971], [-1.357, -0.766, -3.351], [-2.472, -7.086, 2.620]],
  "species": ["Tl", "Se", "Se", "Th"],
  "frac_coords": [[0.500, 0.500, 0.500], [0.000, 0.000, 0.790], [0.000, 0.000, 0.210], [0.500, 0.500, 0.000]],
  "n_ef_per_ev_fu": 1.79,
  "sg": "No. 123",
  "energy_ha_per_atom": -0.1974,
  "e_form_raw_mev_per_atom": -1181.7
}



(11)
{
  "formula": "PrDyCuPd",
  "functional": "GGA-PBE",
  "state": "optimized geometry",
  "lattice": [[5.051, 0.000, 0.000], [2.525, 4.374, 0.000], [2.525, 1.458, 4.124]],
  "species": ["Cu", "Dy", "Pr", "Pd"],
  "frac_coords": [[0.250, 0.250, 0.250], [0.000, 0.000, 0.000], [0.500, 0.500, 0.500], [0.750, 0.750, 0.750]],
  "n_ef_per_ev_fu": 2.57,
  "ef_ev_per_atom": -0.4835,
  "sg": "No. 216",
  "energy_ha_per_atom": -0.1893,
  "polymorph_energy_ev_per_atom": 0.0402
}



(12)
{
  "formula": "Tb5Pr2Tm",
  "functional": "GGA-PBE",
  "state": "optimized geometry",
  "lattice": [[-1.491, -4.472, 1.865], [3.140, 1.566, 6.264], [-12.208, 5.996, 4.619]],
  "species": ["Tb", "Tb", "Tb", "Tb", "Tb", "Tb", "Tb", "Tb", "Tb", "Tb", "Pr", "Pr", "Pr", "Pr", "Tm", "Tm"],
  "frac_coords": [[0.000, 0.002, 0.250], [0.000, 0.500, 0.500], [0.000, 0.502, 0.250], [0.500, 0.249, 0.875], [0.000, 0.998, 0.750], [0.000, 0.498, 0.750], [0.500, 0.751, 0.125], [0.500, 0.749, 0.625], [0.500, 0.251, 0.375], [0.000, 0.000, 0.000], [0.500, 0.749, 0.875], [0.500, 0.751, 0.375], [0.500, 0.251, 0.125], [0.500, 0.249, 0.625], [0.000, 0.500, 0.000], [0.000, 0.000, 0.500]],
  "n_ef_per_ev_fu": 11.05,
  "ef_ev_per_atom": 0.0192,
  "sg": "No. 55",
  "energy_ha_per_atom": -0.1701,
  "polymorph_energy_ev_per_atom": 0.0000
}



(13)
{
  "formula": "BeReSi2",
  "functional": "GGA-PBE",
  "state": "optimized geometry",
  "lattice": [[-4.115, -1.315, -0.933], [-2.466, -3.622, -0.575], [-1.320, -0.314, 4.056]],
  "species": ["Re", "Si", "Si", "Be"],
  "frac_coords": [[0.250, 0.250, 0.250], [0.987, 0.987, 0.005], [0.513, 0.513, 0.495], [0.750, 0.750, 0.750]],
  "n_ef_per_ev_fu": 1.54,
  "sg": "No. 12",
  "energy_ha_per_atom": -0.2457,
  "e_form_raw_mev_per_atom": 70.5
}